No. 1
A plane-wave DFT calculation with PBE was carried out for a geometry-optimized Cs3RbCu2P2 structure.

Calculated values
- space-group type = Pm
- theoretical density (g/cm³) = 4.41
- total DFT energy (no corrections) (eV/atom) = -2.987

Unit cell a=6.5747 b=6.2095 c=6.6039 alpha=90.00 beta=109.81 gamma=90.00
Closest atoms and distances in Å follow each position.
Element x y z (fractional)
Cs1 0.0000 0.0000 0.0000  2 Cu 3.57, 1 Rb 3.62, 4 P 3.68-3.75, 4 Cs 3.84-3.89
Cs2 0.0435 0.5000 0.3677  2 Cu 3.59, 4 P 3.62-3.79, 3 Cs 3.65-3.89, 2 Rb 3.83
Cs3 0.7019 0.5000 0.7037  4 P 3.58-3.75, 2 Cu 3.60, 3 Cs 3.65-3.84, 2 Rb 3.88
Rb1 0.3371 0.0000 0.6665  4 P 3.55-3.80, 2 Cu 3.55, 5 Cs 3.62-3.88
Cu1 0.5196 0.2503 0.1808  2 P 2.25
Cu2 0.5196 0.7497 0.1808  2 P 2.25
P1 0.3055 0.5000 0.9654  2 Cu 2.25
P2 0.7260 0.0000 0.4018  2 Cu 2.25

No. 2
A plane-wave DFT calculation with PBE was carried out for a geometry-optimized CsRb2Cu3P2 structure.

Calculated values
- space-group type = R-3m
- theoretical density (g/cm³) = 4.37
- total DFT energy (no corrections) (eV/atom) = -3.398

Unit cell a=7.5810 b=7.5810 c=7.5810 alpha=46.79 beta=46.79 gamma=46.79
Closest atoms and distances in Å follow each position.
Element x y z (fractional)
Cs1 0.0000 0.0000 0.0000  6 Cu 3.79, 6 Rb 3.79, 6 P 3.98
Rb1 0.4086 0.4086 0.4086  4 P 3.46-3.50, 6 Cu 3.53, 1 Rb 3.70, 3 Cs 3.79
Rb2 0.5914 0.5914 0.5914  4 P 3.46-3.50, 6 Cu 3.53, 1 Rb 3.70, 3 Cs 3.79
Cu1 0.0000 0.0000 0.5000  2 P 2.25
Cu2 0.0000 0.5000 0.0000  2 P 2.25
Cu3 0.5000 0.0000 0.0000  2 P 2.25
P1 0.2376 0.2376 0.2376  3 Cu 2.25
P2 0.7624 0.7624 0.7624  3 Cu 2.25

No. 3
A plane-wave DFT calculation with PBE was carried out for a geometry-optimized CsPaCuTe3 structure.

Calculated values
- space-group type = Cmcm
- theoretical density (g/cm³) = 6.25
- total DFT energy (no corrections) (eV/atom) = -4.741

Unit cell a=8.8925 b=8.8925 c=11.4838 alpha=90.00 beta=90.00 gamma=151.68
Closest atoms and distances in Å follow each position.
Element x y z (fractional)
Cs1 0.2439 0.7561 0.7500  8 Te 3.85-4.16
Cs2 0.7561 0.2439 0.2500  8 Te 3.85-4.16
Pa1 0.5000 0.5000 0.0000  6 Te 3.05-3.09
Pa2 0.5000 0.5000 0.5000  6 Te 3.05-3.09
Cu1 0.0324 0.9676 0.2500  4 Te 2.65-2.69
Cu2 0.9676 0.0324 0.7500  4 Te 2.65-2.69
Te1 0.1205 0.8795 0.0613  1 Cu 2.65
Te2 0.1205 0.8795 0.4387  1 Cu 2.65
Te3 0.4403 0.5597 0.2500  2 Cu 2.69
Te4 0.5597 0.4403 0.7500  2 Cu 2.69
Te5 0.8795 0.1205 0.5613  1 Cu 2.65
Te6 0.8795 0.1205 0.9387  1 Cu 2.65

No. 4
A plane-wave DFT calculation with PBE was carried out for a geometry-optimized CsCuPbS3 structure.

Calculated values
- space-group type = Cmcm
- theoretical density (g/cm³) = 5.01
- total DFT energy (no corrections) (eV/atom) = -3.909

Unit cell a=7.7377 b=7.7377 c=11.0147 alpha=90.00 beta=90.00 gamma=149.82
Closest atoms and distances in Å follow each position.
Element x y z (fractional)
Cs1 0.2264 0.7736 0.7500  8 S 3.64-3.76, 2 Cu 3.77, 2 Cs 4.03
Cs2 0.7736 0.2264 0.2500  8 S 3.64-3.76, 2 Cu 3.77, 2 Cs 4.03
Cu1 0.0602 0.9398 0.2500  4 S 2.28-2.37
Cu2 0.9398 0.0602 0.7500  4 S 2.28-2.37
Pb1 0.5000 0.5000 0.0000  6 S 2.78-2.80
Pb2 0.5000 0.5000 0.5000  6 S 2.78-2.80
S1 0.1225 0.8775 0.0608  1 Cu 2.28
S2 0.1225 0.8775 0.4392  1 Cu 2.28
S3 0.4764 0.5236 0.2500  2 Cu 2.37
S4 0.5236 0.4764 0.7500  2 Cu 2.37
S5 0.8775 0.1225 0.5608  1 Cu 2.28
S6 0.8775 0.1225 0.9392  1 Cu 2.28

No. 5
A plane-wave DFT calculation with PBE was carried out for a geometry-optimized CsCu3PbS4 structure.

Calculated values
- space-group type = P-43m
- theoretical density (g/cm³) = 4.40
- total DFT energy (no corrections) (eV/atom) = -3.589

Unit cell a=6.2908 b=6.2908 c=6.2908 alpha=90.00 beta=90.00 gamma=90.00
Closest atoms and distances in Å follow each position.
Element x y z (fractional)
Cs1 0.0000 0.0000 0.0000  4 S 3.02
Cu1 0.0000 0.5000 0.5000  4 S 2.64
Cu2 0.5000 0.0000 0.5000  4 S 2.64
Cu3 0.5000 0.5000 0.0000  4 S 2.64
Pb1 0.5000 0.5000 0.5000  4 S 2.43
S1 0.2773 0.2773 0.2773  1 Pb 2.43, 3 Cu 2.64
S2 0.2773 0.7227 0.7227  1 Pb 2.43, 3 Cu 2.64
S3 0.7227 0.2773 0.7227  1 Pb 2.43, 3 Cu 2.64
S4 0.7227 0.7227 0.2773  1 Pb 2.43, 3 Cu 2.64

No. 6
A plane-wave DFT calculation with PBE was carried out for a geometry-optimized CsCuPbSe2S structure.

Calculated values
- space-group type = Cmcm
- theoretical density (g/cm³) = 5.63
- total DFT energy (no corrections) (eV/atom) = -3.707

Unit cell a=7.7302 b=7.7302 c=11.3673 alpha=90.00 beta=90.00 gamma=148.95
Closest atoms and distances in Å follow each position.
Element x y z (fractional)
Cs1 0.2171 0.7829 0.7500  6 Se 3.70-3.76, 2 S 3.71, 2 Cu 3.87, 2 Cs 4.14
Cs2 0.7829 0.2171 0.2500  6 Se 3.70-3.76, 2 S 3.71, 2 Cu 3.87, 2 Cs 4.14
Cu1 0.0634 0.9366 0.2500  2 S 2.34, 2 Se 2.44
Cu2 0.9366 0.0634 0.7500  2 S 2.34, 2 Se 2.44
Pb1 0.5000 0.5000 0.0000  2 S 2.85, 4 Se 2.93
Pb2 0.5000 0.5000 0.5000  2 S 2.85, 4 Se 2.93
Se1 0.1325 0.8675 0.0558  1 Cu 2.44
Se2 0.1325 0.8675 0.4442  1 Cu 2.44
Se3 0.8675 0.1325 0.5558  1 Cu 2.44
Se4 0.8675 0.1325 0.9442  1 Cu 2.44
S1 0.4894 0.5106 0.2500  2 Cu 2.34
S2 0.5106 0.4894 0.7500  2 Cu 2.34